Below is MnCuSnO4 after structural relaxation, with properties calculated at the PBE+U level.

Results
- crystal system = orthorhombic
- calculated total energy (eV/atom) = -6.166
- mass density (g/cm³) = 6.067

Geometry as extended XYZ:
```
14
Lattice="-4.576 3.281 1.940 -1.383 -0.078 6.010 1.163 5.053 3.340" Properties=species:S:1:pos:R:3 pbc="T T T"
Mn -1.707 4.167 2.640
Mn 0.582 2.526 1.670
Cu -3.683 2.594 5.211
Cu -1.114 5.663 6.080
Sn 0.000 0.000 0.000
Sn -0.110 2.488 4.675
O -3.733 5.996 8.481
O -1.351 4.392 7.670
O -3.446 3.865 3.620
O -1.064 2.261 2.809
O -1.760 2.006 5.915
O -4.175 3.738 6.939
O -0.621 4.519 4.351
O -3.037 6.251 5.375
```